Record 1
The following is a GGA+U calculation of an optimized crystal structure of Na3CoC2ClO6, from Alexandria.

Computed properties:
**Raw total energy**: -6.131 eV per atom

Cell lengths 14.1600, 14.1600, 14.1600 Å; angles 90.00, 90.00, 90.00 degrees
Closest atoms and distances in Å follow each position.
Space group Fd-3 (No. 203, origin choice 2)
Symmetry-distinct sites (fractional):
Na: 0.0992 0.3750 0.3750 [48 per cell]  4 O 2.37-2.47
Co: 0.0000 0.0000 0.5000 [16 per cell]  6 O 2.13
C: 0.0328 0.0328 0.7172 [32 per cell]  3 O 1.30
Cl: 0.0000 0.0000 0.0000 [16 per cell]  6 Na 2.87
O: 0.0175 0.1029 0.7745 [96 per cell]  1 C 1.30

=====

Record 2
The following is a GGA+U calculation of an optimized crystal structure of PmCoAs2O8, from Alexandria.

Computed properties:
**Raw total energy**: -6.439 eV per atom

Cell lengths 7.1532, 7.1532, 6.1987 Å; angles 90.00, 90.00, 90.00 degrees
Closest atoms and distances in Å follow each position.
Space group I-4m2 (No. 119)
Symmetry-distinct sites (fractional):
Pm: 0.0000 0.0000 0.0000 [2 per cell]  8 O 2.37-2.41
Co: 0.0000 0.5000 0.2500 [2 per cell]  8 O 2.26-2.29
As: 0.0000 0.0000 0.5000 [2 per cell]  4 O 1.73
As: 0.0000 0.5000 0.7500 [2 per cell]  4 O 1.72
O: 0.0000 0.1867 0.3232 [8 per cell]  1 As 1.73
O: 0.0000 0.3283 0.9443 [8 per cell]  1 As 1.72